Density functional theory data (PBE with a Hubbard U) for KTl2FeF5 after structural relaxation.

a = 7.6278 Å, b = 7.6278 Å, c = 7.6278 Å
α = 148.27°, β = 132.50°, γ = 58.26°
With the nearest neighbours (Å) after each atom.
Fractional positions:
K1 0.0000 0.0000 0.0000  10 F 3.05-3.07
Tl1 0.2889 0.7889 0.5000  7 F 2.81-2.85
Tl2 0.7111 0.2111 0.5000  7 F 2.81-2.85
Fe1 0.5000 0.5000 0.0000  6 F 2.09-2.10
F1 0.1504 0.3860 0.7644  1 Fe 2.10
F2 0.3784 0.6140 0.7644  1 Fe 2.10
F3 0.5000 0.0000 0.5000  2 Fe 2.09
F4 0.6216 0.3860 0.2356  1 Fe 2.10
F5 0.8496 0.6140 0.2356  1 Fe 2.10

Computed properties:
As for the space group: Immm, No. 71. The calculation puts the density of states at the Fermi level at 0.0 states/eV/f.u. The final energy comes out at -40.7 eV per cell.